[1]
The following is a DFT calculation (GGA-PBE) of a relaxed structure of La2HfSi3Pt4.

abc: 4.3591 4.3591 10.2629
angles: 90.00 90.00 90.00
Positions (direct):
La (0.5000, 0.0000, 0.2398)
La (0.0000, 0.5000, 0.7602)
Hf (0.5000, 0.5000, 0.5000)
Si (0.0000, 0.0000, 0.5000)
Si (0.5000, 0.0000, 0.8780)
Si (0.0000, 0.5000, 0.1220)
Pt (0.5000, 0.5000, 0.0000)
Pt (0.0000, 0.0000, 0.0000)
Pt (0.5000, 0.0000, 0.6427)
Pt (0.0000, 0.5000, 0.3573)

Properties
The symmetry is P-4m2, No. 115. Its formation energy without anion corrections is -1091 meV per atom.

[2]
The following is a DFT calculation (GGA-PBE) of a relaxed structure of LaHfSn2Pt.

abc: 5.2827 5.1908 5.2827
angles: 90.00 90.00 90.00
Each line ends with the local moment (μB).
Positions (direct):
Hf (0.0000, 0.5000, 0.0000)  0.24
Sn (0.0000, 0.0000, 0.5000)  -0.01
Sn (0.5000, 0.0000, 0.0000)  0.00
Pt (0.0000, 0.0000, 0.0000)  0.00
La (0.5000, 0.5000, 0.5000)  0.08

Properties
The symmetry is P4/mmm, No. 123.

[3]
The following is a DFT calculation (GGA-PBE) of a relaxed structure of LaHfTaPt2.

abc: 4.9073 5.2564 4.9073
angles: 90.00 90.00 90.00
Each line ends with the local moment (μB).
Positions (direct):
La (0.0000, 0.5000, 0.0000)  0.06
Hf (0.5000, 0.5000, 0.5000)  0.23
Pt (0.0000, 0.0000, 0.5000)  0.00
Pt (0.5000, 0.0000, 0.0000)  0.00
Ta (0.0000, 0.0000, 0.0000)  0.00

Properties
The symmetry is P4/mmm, No. 123.

[4]
The following is a DFT calculation (GGA-PBE) of a relaxed structure of LaHfZn2Pt.

abc: 5.1973 5.0810 5.1973
angles: 90.00 90.00 90.00
Positions (direct):
Zn (0.0000, 0.0000, 0.5000)
Zn (0.5000, 0.0000, 0.0000)
Hf (0.5000, 0.5000, 0.5000)
Pt (0.0000, 0.5000, 0.0000)
La (0.0000, 0.0000, 0.0000)

Properties
The symmetry is P4/mmm, No. 123.

[5]
The following is a DFT calculation (GGA-PBE) of a relaxed structure of La2HfZrPt2.

abc: 6.6894 6.6862 8.3896
angles: 113.51 113.50 90.00
Positions (direct):
La (0.4437, 0.1899, 0.3791)
La (0.5563, 0.8101, 0.6209)
La (0.0646, 0.3101, 0.6209)
La (0.9354, 0.6899, 0.3791)
Hf (0.4999, 0.7500, 0.0000)
Hf (0.5001, 0.2500, 0.0000)
Zr (0.0000, 0.7500, 0.0000)
Zr (0.0000, 0.2500, 0.0000)
Pt (0.8419, 0.0968, 0.1936)
Pt (0.3517, 0.5968, 0.1936)
Pt (0.6483, 0.4032, 0.8064)
Pt (0.1581, 0.9032, 0.8064)

Properties
The symmetry is Ibam, No. 72.

[6]
The following is a DFT calculation (GGA-PBE) of a relaxed structure of RbLa3Hf.

abc: 6.0511 6.0511 6.0511
angles: 90.00 90.00 90.00
Positions (direct):
Hf (0.0000, 0.0000, 0.0000)
Rb (0.5000, 0.5000, 0.5000)
La (0.0000, 0.5000, 0.0000)
La (0.0000, 0.0000, 0.5000)
La (0.5000, 0.0000, 0.0000)

Properties
The symmetry is Pm-3m, No. 221.

[7]
The following is a DFT calculation (GGA-PBE) of a relaxed structure of Rb2LaHf2.

abc: 10.9940 10.9940 3.1818
angles: 90.00 90.00 90.00
Each line ends with the local moment (μB).
Positions (direct):
Hf (0.0875, 0.5875, 0.5000)  0.35
Hf (0.5875, 0.9125, 0.5000)  0.33
Hf (0.9125, 0.4125, 0.5000)  0.35
Hf (0.4125, 0.0875, 0.5000)  0.33
Rb (0.2973, 0.7973, 0.0000)  0.01
Rb (0.7973, 0.7027, 0.0000)  0.01
Rb (0.7027, 0.2027, 0.0000)  0.01
Rb (0.2027, 0.2973, 0.0000)  0.01
La (0.0000, 0.0000, 0.0000)  -0.01
La (0.5000, 0.5000, 0.0000)  -0.01

Properties
The symmetry is P4/mbm, No. 127.

[8]
The following is a DFT calculation (GGA-PBE) of a relaxed structure of Rb3LaHf.

abc: 7.0474 7.0474 7.0474
angles: 90.00 90.00 90.00
Each line ends with the local moment (μB).
Positions (direct):
Hf (0.5000, 0.5000, 0.5000)  -1.34
Rb (0.0000, 0.5000, 0.0000)  -0.06
Rb (0.0000, 0.0000, 0.5000)  -0.07
Rb (0.5000, 0.0000, 0.0000)  -0.05
La (0.0000, 0.0000, 0.0000)  -1.02

Properties
The symmetry is Pm-3m, No. 221.

[9]
The following is a DFT calculation (GGA-PBE) of a relaxed structure of RbLaHf2.

abc: 5.5338 5.5338 5.5338
angles: 60.00 60.00 60.00
Positions (direct):
Hf (0.2500, 0.2500, 0.2500)
Hf (0.7500, 0.7500, 0.7500)
Rb (0.0000, 0.0000, 0.0000)
La (0.5000, 0.5000, 0.5000)

Properties
The symmetry is Fm-3m, No. 225.

[10]
The following is a DFT calculation (GGA-PBE) of a relaxed structure of RbLaHf2.

abc: 4.4908 4.4908 12.3131
angles: 79.49 79.49 90.00
Positions (direct):
Hf (0.6428, 0.1250, 0.2500)
Hf (0.1072, 0.6250, 0.2500)
Hf (0.3750, 0.3572, 0.7500)
Hf (0.8750, 0.8928, 0.7500)
Rb (0.5000, 0.5000, 0.0000)
Rb (0.2500, 0.7500, 0.5000)
La (0.0000, 0.0000, 0.0000)
La (0.7500, 0.2500, 0.5000)

Properties
The symmetry is I-42d, No. 122.

[11]
The following is a DFT calculation (GGA-PBE) of a relaxed structure of Rb2LaHf2.

abc: 5.0375 5.0375 7.6009
angles: 70.65 70.65 90.00
Positions (direct):
Hf (0.7500, 0.2500, 0.5000)
Hf (0.2500, 0.7500, 0.5000)
Rb (0.3877, 0.3877, 0.2246)
Rb (0.6123, 0.6123, 0.7754)
La (0.0000, 0.0000, 0.0000)

Properties
The symmetry is I4/mmm, No. 139.

[12]
The following is a DFT calculation (GGA-PBE) of a relaxed structure of Rb3LaHf.

abc: 6.9432 6.9432 6.9432
angles: 90.00 90.00 90.00
Each line ends with the local moment (μB).
Positions (direct):
Rb (0.0000, 0.5000, 0.0000)  0.05
Rb (0.0000, 0.0000, 0.5000)  0.05
Rb (0.5000, 0.0000, 0.0000)  0.05
La (0.5000, 0.5000, 0.5000)  0.69
Hf (0.0000, 0.0000, 0.0000)  1.57

Properties
The symmetry is Pm-3m, No. 221.

[13]
The following is a DFT calculation (GGA-PBE) of a relaxed structure of RbLa3Hf.

abc: 5.6232 5.6232 5.6232
angles: 90.00 90.00 90.00
Positions (direct):
Hf (0.5000, 0.5000, 0.5000)
Rb (0.0000, 0.0000, 0.0000)
La (0.0000, 0.5000, 0.0000)
La (0.0000, 0.0000, 0.5000)
La (0.5000, 0.0000, 0.0000)

Properties
The symmetry is Pm-3m, No. 221.

[14]
The following is a DFT calculation (GGA-PBE) of a relaxed structure of RbLa2HfRh.

abc: 5.9897 4.9112 5.9897
angles: 90.00 90.00 90.00
Positions (direct):
Rh (0.0000, 0.5000, 0.0000)
Hf (0.0000, 0.0000, 0.0000)
Rb (0.5000, 0.5000, 0.5000)
La (0.0000, 0.0000, 0.5000)
La (0.5000, 0.0000, 0.0000)

Properties
The symmetry is P4/mmm, No. 123.

[15]
The following is a DFT calculation (GGA-PBE) of a relaxed structure of Rb4La3HfS8.

abc: 8.3519 9.0915 8.3518
angles: 117.36 120.00 90.00
Positions (direct):
Rb (0.5000, 0.0000, 0.0000)
Rb (0.5000, 0.0000, 0.5000)
Rb (0.0000, 0.0000, 0.0000)
Rb (0.0000, 0.0000, 0.5000)
La (0.5000, 0.5000, 0.0000)
La (0.5000, 0.5000, 0.5000)
La (0.0000, 0.5000, 0.5000)
Hf (0.0000, 0.5000, 0.0000)
S (0.2153, 0.6907, 0.9756)
S (0.2153, 0.6908, 0.4307)
S (0.2645, 0.2936, 0.5290)
S (0.7603, 0.6907, 0.9756)
S (0.2397, 0.3093, 0.0244)
S (0.7355, 0.7064, 0.4710)
S (0.7847, 0.3092, 0.5693)
S (0.7847, 0.3093, 0.0244)

Properties
The symmetry is R-3m, No. 166. Its formation energy without anion corrections is -1741 meV per atom.

[16]
The following is a DFT calculation (GGA-PBE) of a relaxed structure of Rb3La2HfS6.

abc: 7.1517 7.1517 8.0627
angles: 98.56 98.56 120.00
Positions (direct):
Rb (0.1703, 0.8297, 0.5000)
Rb (0.8297, 0.1703, 0.5000)
Rb (0.5000, 0.5000, 0.5000)
La (0.3336, 0.6664, 0.0000)
La (0.6664, 0.3336, 0.0000)
Hf (0.0000, 0.0000, 0.0000)
S (0.9351, 0.6323, 0.8064)
S (0.7627, 0.7627, 0.1942)
S (0.0649, 0.3677, 0.1936)
S (0.6323, 0.9351, 0.8064)
S (0.2373, 0.2373, 0.8058)
S (0.3677, 0.0649, 0.1936)

Properties
The symmetry is C2/m, No. 12. Its formation energy without anion corrections is -1702 meV per atom.

[17]
The following is a DFT calculation (GGA-PBE) of a relaxed structure of Rb4La3HfSe8.

abc: 8.6631 9.4454 8.6625
angles: 117.30 120.00 90.00
Positions (direct):
Rb (0.5000, 0.0000, 0.0000)
Rb (0.5000, 0.0000, 0.5000)
Rb (0.0000, 0.0000, 0.0000)
Rb (0.0000, 0.0000, 0.5000)
La (0.5000, 0.5000, 0.0000)
La (0.5000, 0.5000, 0.5000)
La (0.0000, 0.5000, 0.5000)
Hf (0.0000, 0.5000, 0.0000)
Se (0.2178, 0.6950, 0.9773)
Se (0.2178, 0.6950, 0.4356)
Se (0.2635, 0.2907, 0.5271)
Se (0.7595, 0.6950, 0.9773)
Se (0.2405, 0.3050, 0.0227)
Se (0.7365, 0.7093, 0.4729)
Se (0.7822, 0.3050, 0.5644)
Se (0.7822, 0.3050, 0.0227)

Properties
The symmetry is R-3m, No. 166. Its formation energy without anion corrections is -1637 meV per atom.

[18]
The following is a DFT calculation (GGA-PBE) of a relaxed structure of RbLaHf2Si.

abc: 5.4848 5.7461 5.4848
angles: 90.00 90.00 90.00
Positions (direct):
Si (0.0000, 0.5000, 0.0000)
Hf (0.0000, 0.0000, 0.5000)
Hf (0.5000, 0.0000, 0.0000)
Rb (0.5000, 0.5000, 0.5000)
La (0.0000, 0.0000, 0.0000)

Properties
The symmetry is P4/mmm, No. 123. Its formation energy without anion corrections is 1432 meV per atom.

[19]
The following is a DFT calculation (GGA-PBE) of a relaxed structure of RbLaHf2Tc.

abc: 5.4847 5.4847 4.8769
angles: 90.00 90.00 90.00
Each line ends with the local moment (μB).
Positions (direct):
Hf (0.0000, 0.5000, 0.0000)  0.01
Hf (0.5000, 0.0000, 0.0000)  0.01
Tc (0.0000, 0.0000, 0.5000)  0.53
Rb (0.5000, 0.5000, 0.5000)  0.00
La (0.0000, 0.0000, 0.0000)  0.00

Properties
The symmetry is P4/mmm, No. 123.

[20]
The following is a DFT calculation (GGA-PBE) of a relaxed structure of Rb3La2HfTe6.

abc: 7.8927 7.8927 8.9701
angles: 98.48 98.48 120.03
Positions (direct):
Rb (0.1738, 0.8262, 0.5000)
Rb (0.8262, 0.1738, 0.5000)
Rb (0.5000, 0.5000, 0.5000)
La (0.3342, 0.6658, 0.0000)
La (0.6658, 0.3342, 0.0000)
Hf (0.0000, 0.0000, 0.0000)
Te (0.9331, 0.6261, 0.7990)
Te (0.7622, 0.7622, 0.2032)
Te (0.0669, 0.3739, 0.2010)
Te (0.6261, 0.9331, 0.7990)
Te (0.2378, 0.2378, 0.7968)
Te (0.3739, 0.0669, 0.2010)

Properties
The symmetry is C2/m, No. 12. Its formation energy without anion corrections is -1247 meV per atom.

Computed DFT total energy, in the same sequence as the records: -7.11; -5.84; -7.08; -3.66; -7.58; -4.59; -4.06; -1.77; -5.24; -5.24; -3.75; -2.00; -3.76; -5.13; -5.59; -5.66; -5.17; -4.81; -5.53; -4.71 eV per atom.